1.
The following is a DFT calculation (PBE) of a relaxed MnBi2Os crystal.

Values from the calculation:
ΔE_f: 4.28 eV/f.u.
volume: 486.12 Å³/cell
E: -5.97 eV per atom

Cell: 6.6333 6.6333 11.0480 Å, 90.00 90.00 90.00°
Space group I-42d (No. 122)
Inequivalent atoms, fractional coordinates:
Mn 0.0000 0.0000 0.0000 x4
Bi 0.2308 0.2500 0.6250 x8
Os 0.0000 0.0000 0.5000 x4

2.
The following is a DFT calculation (PBE) of a relaxed MnBi3Os crystal.

Values from the calculation:
ΔE_f: 5.26 eV/f.u.
volume: 152.01 Å³/cell
E: -5.36 eV per atom

Cell: 5.3369 5.3369 5.3369 Å, 90.00 90.00 90.00°
Space group Pm-3m (No. 221)
Inequivalent atoms, fractional coordinates:
Mn 0.0000 0.0000 0.0000 x1
Bi 0.0000 0.5000 0.5000 x3
Os 0.5000 0.5000 0.5000 x1

3.
The following is a DFT calculation (PBE) of a relaxed MnBiOs2 crystal.

Values from the calculation:
ΔE_f: 5.14 eV/f.u.
volume: 362.17 Å³/cell
E: -7.59 eV per atom

Cell: 5.5648 5.5648 11.6955 Å, 90.00 90.00 90.00°
Space group I-42d (No. 122)
Inequivalent atoms, fractional coordinates:
Mn 0.0000 0.0000 0.0000 x4
Bi 0.0000 0.0000 0.5000 x4
Os 0.1794 0.2500 0.1250 x8

4.
The following is a DFT calculation (PBE) of a relaxed Mn3BiOs crystal.

Values from the calculation:
ΔE_f: 4.91 eV/f.u.
volume: 108.20 Å³/cell
E: -7.54 eV per atom

Cell: 4.7651 4.7651 4.7651 Å, 90.00 90.00 90.00°
Space group Pm-3m (No. 221)
Inequivalent atoms, fractional coordinates:
Mn 0.0000 0.0000 0.5000 x3
Bi 0.5000 0.5000 0.5000 x1
Os 0.0000 0.0000 0.0000 x1

5.
The following is a DFT calculation (PBE) of a relaxed MnBi2Os crystal.

Values from the calculation:
ΔE_f: 3.82 eV/f.u.
volume: 304.76 Å³/cell
E: -6.08 eV per atom

Cell: 6.7295 6.7295 6.7295 Å, 90.00 90.00 90.00°
Space group Fm-3m (No. 225)
Inequivalent atoms, fractional coordinates:
Mn 0.0000 0.0000 0.0000 x4
Bi 0.2500 0.2500 0.2500 x8
Os 0.0000 0.0000 0.5000 x4

6.
The following is a DFT calculation (PBE) of a relaxed MnBiOsPt2 crystal.

Values from the calculation:
ΔE_f: 4.56 eV/f.u.
volume: 111.01 Å³/cell
E: -6.36 eV per atom

Cell: 4.9393 4.9393 4.5501 Å, 90.00 90.00 90.00°
Space group P4/mmm (No. 123)
Inequivalent atoms, fractional coordinates:
Mn 0.0000 0.0000 0.0000 x1
Bi 0.5000 0.5000 0.0000 x1
Os 0.0000 0.0000 0.5000 x1
Pt 0.0000 0.5000 0.5000 x2

7.
The following is a DFT calculation (PBE) of a relaxed MnBiOsPt2 crystal.

Values from the calculation:
ΔE_f: 8.90 eV/f.u.
volume: 127.04 Å³/cell
E: -5.49 eV per atom

Cell: 5.0194 5.0194 5.0423 Å, 90.00 90.00 90.00°
Space group P4/mmm (No. 123)
Inequivalent atoms, fractional coordinates:
Mn 0.0000 0.0000 0.0000 x1
Bi 0.5000 0.5000 0.5000 x1
Os 0.5000 0.5000 0.0000 x1
Pt 0.0000 0.5000 0.5000 x2

8.
The following is a DFT calculation (PBE) of a relaxed ScMnBi2Os crystal.

Values from the calculation:
ΔE_f: 8.20 eV/f.u.
volume: 127.52 Å³/cell
E: -5.26 eV per atom

Cell: 5.4231 5.4231 4.3359 Å, 90.00 90.00 90.00°
Space group P4/mmm (No. 123)
Inequivalent atoms, fractional coordinates:
Sc 0.0000 0.0000 0.0000 x1
Mn 0.0000 0.0000 0.5000 x1
Bi 0.0000 0.5000 0.0000 x2
Os 0.5000 0.5000 0.5000 x1

9.
The following is a DFT calculation (PBE) of a relaxed MnBi3P crystal.

Values from the calculation:
ΔE_f: 3.28 eV/f.u.
volume: 129.82 Å³/cell
E: -4.59 eV per atom

Cell: 5.0634 5.0634 5.0634 Å, 90.00 90.00 90.00°
Space group Pm-3m (No. 221)
Inequivalent atoms, fractional coordinates:
Mn 0.0000 0.0000 0.0000 x1
Bi 0.0000 0.0000 0.5000 x3
P 0.5000 0.5000 0.5000 x1

10.
The following is a DFT calculation (PBE) of a relaxed MnBi3P crystal.

Values from the calculation:
ΔE_f: 4.05 eV/f.u.
volume: 157.65 Å³/cell
E: -4.43 eV per atom

Cell: 5.4021 5.4021 5.4021 Å, 90.00 90.00 90.00°
Space group Pm-3m (No. 221)
Inequivalent atoms, fractional coordinates:
Mn 0.0000 0.0000 0.0000 x1
Bi 0.0000 0.5000 0.5000 x3
P 0.5000 0.5000 0.5000 x1

11.
The following is a DFT calculation (PBE) of a relaxed Mn3BiP crystal.

Values from the calculation:
ΔE_f: 7.32 eV/f.u.
volume: 138.36 Å³/cell
E: -5.90 eV per atom

Cell: 5.1722 5.1722 5.1722 Å, 90.00 90.00 90.00°
Space group Pm-3m (No. 221)
Inequivalent atoms, fractional coordinates:
Mn 0.0000 0.0000 0.5000 x3
Bi 0.0000 0.0000 0.0000 x1
P 0.5000 0.5000 0.5000 x1

12.
The following is a DFT calculation (PBE) of a relaxed Mn2BiP2 crystal.

Values from the calculation:
ΔE_f: -0.06 eV/f.u.
volume: 149.42 Å³/cell
E: -6.62 eV per atom

Cell: 3.5740 3.5740 11.6977 Å, 90.00 90.00 90.00°
Space group I4/mmm (No. 139)
Inequivalent atoms, fractional coordinates:
Mn 0.0000 0.0000 0.1294 x4
Bi 0.0000 0.0000 0.5000 x2
P 0.0000 0.5000 0.2500 x4

13.
The following is a DFT calculation (PBE) of a relaxed MnBiP3 crystal.

Values from the calculation:
ΔE_f: 2.17 eV/f.u.
volume: 91.61 Å³/cell
E: -5.42 eV per atom

Cell: 4.5080 4.5080 4.5080 Å, 90.00 90.00 90.00°
Space group Pm-3m (No. 221)
Inequivalent atoms, fractional coordinates:
Mn 0.0000 0.0000 0.0000 x1
Bi 0.5000 0.5000 0.5000 x1
P 0.0000 0.0000 0.5000 x3

14.
The following is a DFT calculation (PBE) of a relaxed Mn3BiP crystal.

Values from the calculation:
ΔE_f: 1.00 eV/f.u.
volume: 87.67 Å³/cell
E: -7.16 eV per atom

Cell: 4.4425 4.4425 4.4425 Å, 90.00 90.00 90.00°
Space group Pm-3m (No. 221)
Inequivalent atoms, fractional coordinates:
Mn 0.0000 0.0000 0.5000 x3
Bi 0.5000 0.5000 0.5000 x1
P 0.0000 0.0000 0.0000 x1

15.
The following is a DFT calculation (PBE) of a relaxed MnBi2PPd crystal.

Values from the calculation:
ΔE_f: 2.85 eV/f.u.
volume: 137.11 Å³/cell
E: -4.94 eV per atom

Cell: 5.6291 5.6291 4.3271 Å, 90.00 90.00 90.00°
Space group P4/mmm (No. 123)
Inequivalent atoms, fractional coordinates:
Mn 0.0000 0.0000 0.0000 x1
Bi 0.0000 0.5000 0.5000 x2
P 0.5000 0.5000 0.0000 x1
Pd 0.5000 0.5000 0.5000 x1

16.
The following is a DFT calculation (PBE) of a relaxed MnReBiP2 crystal.

Values from the calculation:
ΔE_f: 11.62 eV/f.u.
volume: 137.57 Å³/cell
E: -4.94 eV per atom

Cell: 5.2402 5.2402 5.0100 Å, 90.00 90.00 90.00°
Space group P4/mmm (No. 123)
Inequivalent atoms, fractional coordinates:
Mn 0.0000 0.0000 0.0000 x1
Re 0.5000 0.5000 0.0000 x1
Bi 0.0000 0.0000 0.5000 x1
P 0.0000 0.5000 0.5000 x2

17.
The following is a DFT calculation (PBE) of a relaxed MnBiPRh2 crystal.

Values from the calculation:
ΔE_f: 0.52 eV/f.u.
volume: 86.97 Å³/cell
E: -6.53 eV per atom

Cell: 4.4970 4.4970 4.3005 Å, 90.00 90.00 90.00°
Space group P4/mmm (No. 123)
Inequivalent atoms, fractional coordinates:
Mn 0.0000 0.0000 0.0000 x1
Bi 0.5000 0.5000 0.0000 x1
P 0.0000 0.0000 0.5000 x1
Rh 0.0000 0.5000 0.5000 x2

18.
The following is a DFT calculation (PBE) of a relaxed MnBiPRu2 crystal.

Values from the calculation:
ΔE_f: 12.70 eV/f.u.
volume: 124.91 Å³/cell
E: -4.86 eV per atom

Cell: 4.9446 4.9446 5.1088 Å, 90.00 90.00 90.00°
Space group P4/mmm (No. 123)
Inequivalent atoms, fractional coordinates:
Mn 0.0000 0.0000 0.0000 x1
Bi 0.5000 0.5000 0.5000 x1
P 0.5000 0.5000 0.0000 x1
Ru 0.0000 0.5000 0.5000 x2

19.
The following is a DFT calculation (PBE) of a relaxed MnBiPS2 crystal.

Values from the calculation:
volume: 140.92 Å³/cell
E: -4.36 eV per atom

Cell: 5.1633 5.1633 5.2857 Å, 90.00 90.00 90.00°
Space group P4/mmm (No. 123)
Inequivalent atoms, fractional coordinates:
Mn 0.0000 0.0000 0.0000 x1
Bi 0.5000 0.5000 0.5000 x1
P 0.5000 0.5000 0.0000 x1
S 0.0000 0.5000 0.5000 x2

20.
The following is a DFT calculation (PBE) of a relaxed MnBiPS2 crystal.

Values from the calculation:
volume: 98.81 Å³/cell
E: -5.21 eV per atom

Cell: 4.5503 4.5503 4.7722 Å, 90.00 90.00 90.00°
Space group P4/mmm (No. 123)
Inequivalent atoms, fractional coordinates:
Mn 0.0000 0.0000 0.0000 x1
Bi 0.5000 0.5000 0.5000 x1
P 0.0000 0.0000 0.5000 x1
S 0.0000 0.5000 0.0000 x2

21.
The following is a DFT calculation (PBE) of a relaxed MnBiTeP2 crystal.

Values from the calculation:
volume: 126.23 Å³/cell
E: -4.11 eV per atom

Cell: 5.1762 5.1762 4.7114 Å, 90.00 90.00 90.00°
Space group P4/mmm (No. 123)
Inequivalent atoms, fractional coordinates:
Mn 0.0000 0.0000 0.0000 x1
Bi 0.5000 0.5000 0.0000 x1
Te 0.0000 0.0000 0.5000 x1
P 0.0000 0.5000 0.5000 x2

22.
The following is a DFT calculation (PBE) of a relaxed Mn2BiPW crystal.

Values from the calculation:
ΔE_f: 6.16 eV/f.u.
volume: 99.97 Å³/cell
E: -6.88 eV per atom

Cell: 4.6522 4.6522 4.6193 Å, 90.00 90.00 90.00°
Space group P4/mmm (No. 123)
Inequivalent atoms, fractional coordinates:
Mn 0.0000 0.5000 0.0000 x2
Bi 0.0000 0.0000 0.5000 x1
P 0.5000 0.5000 0.5000 x1
W 0.5000 0.5000 0.0000 x1

23.
The following is a DFT calculation (PBE) of a relaxed Pa3MnBi crystal.

Values from the calculation:
ΔE_f: -0.01 eV/f.u.
volume: 127.74 Å³/cell
E: -8.31 eV per atom

Cell: 5.0363 5.0363 5.0363 Å, 90.00 90.00 90.00°
Space group Pm-3m (No. 221)
Inequivalent atoms, fractional coordinates:
Pa 0.0000 0.0000 0.5000 x3
Mn 0.0000 0.0000 0.0000 x1
Bi 0.5000 0.5000 0.5000 x1

24.
The following is a DFT calculation (PBE) of a relaxed Pa2MnBi crystal.

Values from the calculation:
ΔE_f: -0.07 eV/f.u.
volume: 301.42 Å³/cell
E: -8.03 eV per atom

Cell: 3.9171 3.9171 22.6841 Å, 90.00 90.00 120.00°
Space group R-3m (No. 166, hexagonal axes)
Inequivalent atoms, fractional coordinates:
Pa 0.0000 0.0000 0.2284 x6
Mn 0.0000 0.0000 0.5000 x3
Bi 0.0000 0.0000 0.0000 x3

25.
The following is a DFT calculation (PBE) of a relaxed Pa5Mn2Bi2 crystal.

Values from the calculation:
ΔE_f: -0.93 eV/f.u.
volume: 891.36 Å³/cell
E: -8.28 eV per atom

Cell: 15.9046 7.9776 7.0252 Å, 90.00 90.00 90.00°
Space group Cmce (No. 64)
Inequivalent atoms, fractional coordinates:
Pa 0.0000 0.0000 0.0000 x4
Pa 0.1080 0.1727 0.3517 x16
Mn 0.0000 0.1071 0.6693 x8
Bi 0.2142 0.0000 0.0000 x8

26.
The following is a DFT calculation (PBE) of a relaxed Pa3MnBi2 crystal.

Values from the calculation:
ΔE_f: -0.45 eV/f.u.
volume: 316.20 Å³/cell
E: -7.64 eV per atom

Cell: 3.8468 4.7075 17.4611 Å, 90.00 90.00 90.00°
Space group Immm (No. 71)
Inequivalent atoms, fractional coordinates:
Pa 0.0000 0.0000 0.0000 x2
Pa 0.0000 0.0000 0.3848 x4
Mn 0.0000 0.5000 0.0000 x2
Bi 0.0000 0.0000 0.1874 x4

27.
The following is a DFT calculation (PBE) of a relaxed Pa2MnBi crystal.

Values from the calculation:
ΔE_f: -0.02 eV/f.u.
volume: 382.79 Å³/cell
E: -8.02 eV per atom

Cell: 3.9683 14.6455 6.5864 Å, 90.00 90.00 90.00°
Space group Cmcm (No. 63)
Inequivalent atoms, fractional coordinates:
Pa 0.0000 0.1548 0.0135 x8
Mn 0.0000 0.3107 0.2500 x4
Bi 0.0000 0.4999 0.2500 x4

28.
The following is a DFT calculation (PBE) of a relaxed MnBiPb3 crystal.

Values from the calculation:
ΔE_f: 1.53 eV/f.u.
volume: 149.62 Å³/cell
E: -4.53 eV per atom

Cell: 5.3088 5.3088 5.3088 Å, 90.00 90.00 90.00°
Space group Pm-3m (No. 221)
Inequivalent atoms, fractional coordinates:
Mn 0.0000 0.0000 0.0000 x1
Bi 0.5000 0.5000 0.5000 x1
Pb 0.0000 0.0000 0.5000 x3